# 1
This record from Alexandria via LeMat-Bulk describes MnNi2Te6 after structural relaxation. The functional is PBE.

Calculated values
energy	-4.58	eV per atom
calculated volume	25.500	Å³/atom
magnetic moment	2.87	μB/cell
formation energy (no corrections)	-182	meV/atom
symmetry	C2/m

Geometry as CIF:
```
data_MnNi2Te6
_cell_length_a 3.8408
_cell_length_b 6.3580
_cell_length_c 11.0692
_cell_angle_alpha 115.69
_cell_angle_beta 90.00
_cell_angle_gamma 107.58
_space_group_name_H-M_alt 'P 1'
_space_group_IT_number 1
loop_
_space_group_symop_operation_xyz
'x,y,z'
loop_
_atom_site_label
_atom_site_type_symbol
_atom_site_fract_x
_atom_site_fract_y
_atom_site_fract_z
Mn1 Mn 0.0000 0.0000 0.5000
Te1 Te 0.0055 0.0110 0.7422
Ni1 Ni 0.3313 0.6625 0.1664
Te2 Te 0.6727 0.3455 0.0670
Te3 Te 0.3275 0.6550 0.3990
Te4 Te 0.3273 0.6545 0.9330
Ni2 Ni 0.6687 0.3375 0.8336
Te5 Te 0.9945 0.9890 0.2578
Te6 Te 0.6725 0.3450 0.6010
```

# 2
This record from Alexandria via LeMat-Bulk describes Mn2NiTe6 after structural relaxation. The functional is PBE.

Calculated values
energy	-4.96	eV per atom
calculated volume	25.247	Å³/atom
magnetic moment	5.76	μB/cell
formation energy (no corrections)	-188	meV/atom
symmetry	P-31m

Geometry as CIF:
```
data_Mn2NiTe6
_cell_length_a 5.7569
_cell_length_b 6.7510
_cell_length_c 6.7510
_cell_angle_alpha 120.00
_cell_angle_beta 90.00
_cell_angle_gamma 90.00
_space_group_name_H-M_alt 'P 1'
_space_group_IT_number 1
loop_
_space_group_symop_operation_xyz
'x,y,z'
loop_
_atom_site_label
_atom_site_type_symbol
_atom_site_fract_x
_atom_site_fract_y
_atom_site_fract_z
Mn1 Mn 0.5000 0.3333 0.6667
Te1 Te 0.2532 0.3263 0.3263
Te2 Te 0.2532 0.0000 0.6737
Te3 Te 0.2532 0.6737 0.0000
Te4 Te 0.7468 0.0000 0.3263
Mn2 Mn 0.5000 0.6667 0.3333
Te5 Te 0.7468 0.6737 0.6737
Te6 Te 0.7468 0.3263 0.0000
Ni1 Ni 0.5000 0.0000 0.0000
```

# 3
This record from Alexandria via LeMat-Bulk describes Mn2NiTe after structural relaxation. The functional is PBE.

Calculated values
energy	-6.57	eV per atom
calculated volume	14.046	Å³/atom
magnetic moment	5.31	μB/cell
formation energy (no corrections)	250	meV/atom
symmetry	F-43m

Geometry as CIF:
```
data_Mn2NiTe
_cell_length_a 4.2990
_cell_length_b 4.2990
_cell_length_c 4.2990
_cell_angle_alpha 60.00
_cell_angle_beta 60.00
_cell_angle_gamma 60.00
_space_group_name_H-M_alt 'P 1'
_space_group_IT_number 1
loop_
_space_group_symop_operation_xyz
'x,y,z'
loop_
_atom_site_label
_atom_site_type_symbol
_atom_site_fract_x
_atom_site_fract_y
_atom_site_fract_z
Mn1 Mn 0.7500 0.7500 0.7500
Mn2 Mn 0.0000 0.0000 0.0000
Te1 Te 0.2500 0.2500 0.2500
Ni1 Ni 0.5000 0.5000 0.5000
```

# 4
This record from Alexandria via LeMat-Bulk describes Mn2Ni9Te after structural relaxation. The functional is PBE.

Calculated values
energy	-6.19	eV per atom
calculated volume	11.973	Å³/atom
magnetic moment	10.46	μB/cell
formation energy (no corrections)	-63	meV/atom
symmetry	P4/mmm

Geometry as CIF:
```
data_Mn2Ni9Te
_cell_length_a 3.6389
_cell_length_b 3.6389
_cell_length_c 10.8504
_cell_angle_alpha 90.00
_cell_angle_beta 90.00
_cell_angle_gamma 90.00
_space_group_name_H-M_alt 'P 1'
_space_group_IT_number 1
loop_
_space_group_symop_operation_xyz
'x,y,z'
loop_
_atom_site_label
_atom_site_type_symbol
_atom_site_fract_x
_atom_site_fract_y
_atom_site_fract_z
Ni1 Ni 0.5000 0.5000 0.3381
Ni2 Ni 0.5000 0.0000 0.5000
Ni3 Ni 0.5000 0.5000 0.0000
Mn1 Mn 0.0000 0.0000 0.3413
Ni4 Ni 0.0000 0.5000 0.5000
Mn2 Mn 0.0000 0.0000 0.6587
Ni5 Ni 0.5000 0.0000 0.1784
Te1 Te 0.0000 0.0000 0.0000
Ni6 Ni 0.5000 0.0000 0.8216
Ni7 Ni 0.5000 0.5000 0.6619
Ni8 Ni 0.0000 0.5000 0.1784
Ni9 Ni 0.0000 0.5000 0.8216
```

# 5
This record from Alexandria via LeMat-Bulk describes MnNi3Te8 after structural relaxation. The functional is PBE.

Calculated values
energy	-4.50	eV per atom
calculated volume	23.994	Å³/atom
magnetic moment	2.27	μB/cell
formation energy (no corrections)	-196	meV/atom
symmetry	C2/m

Geometry as CIF:
```
data_MnNi3Te8
_cell_length_a 7.7603
_cell_length_b 7.7619
_cell_length_c 6.7500
_cell_angle_alpha 106.64
_cell_angle_beta 106.96
_cell_angle_gamma 119.88
_space_group_name_H-M_alt 'P 1'
_space_group_IT_number 1
loop_
_space_group_symop_operation_xyz
'x,y,z'
loop_
_atom_site_label
_atom_site_type_symbol
_atom_site_fract_x
_atom_site_fract_y
_atom_site_fract_z
Te1 Te 0.7054 0.5402 0.7507
Mn1 Mn 0.0000 0.0000 0.0000
Te2 Te 0.2903 0.9507 0.2405
Te3 Te 0.2946 0.4598 0.2493
Te4 Te 0.7854 0.4507 0.2357
Ni1 Ni 0.5000 0.5000 0.0000
Te5 Te 0.7097 0.0493 0.7595
Te6 Te 0.2101 0.0448 0.7507
Ni2 Ni 0.0000 0.5000 0.0000
Te7 Te 0.7899 0.9552 0.2493
Te8 Te 0.2146 0.5493 0.7643
Ni3 Ni 0.5000 0.0000 0.0000
```

# 6
This record from Alexandria via LeMat-Bulk describes Mn2NiTe after structural relaxation. The functional is PBE.

Calculated values
energy	-6.59	eV per atom
calculated volume	15.776	Å³/atom
magnetic moment	7.48	μB/cell
formation energy (no corrections)	222	meV/atom
symmetry	Pmmm

Geometry as CIF:
```
data_Mn2NiTe
_cell_length_a 3.4192
_cell_length_b 3.4420
_cell_length_c 6.3703
_cell_angle_alpha 57.32
_cell_angle_beta 90.00
_cell_angle_gamma 90.00
_space_group_name_H-M_alt 'P 1'
_space_group_IT_number 1
loop_
_space_group_symop_operation_xyz
'x,y,z'
loop_
_atom_site_label
_atom_site_type_symbol
_atom_site_fract_x
_atom_site_fract_y
_atom_site_fract_z
Ni1 Ni 0.5000 0.2500 0.2500
Mn1 Mn 0.0000 0.9857 0.0143
Te1 Te 0.5000 0.7500 0.7500
Mn2 Mn 0.0000 0.5143 0.4857
```

DOS(E_F) in states/eV/atom, matching the order above: 0.611; 0.642; 0.722; 0.783; 0.688; 0.754